No. 1
CsNaPmF6: optimized geometry, PBE.

As for the crystal system: orthorhombic. The uncorrected formation energy is -2950 meV/atom. The calculation puts the total DFT energy (no corrections) at -178.8 eV per cell.

It has space group Imma (No. 74), with a = 7.515 Å, b = 8.523 Å, c = 12.101 Å, α = 90.00°, β = 90.00° and γ = 90.00°. The inequivalent atoms are Cs at (0.000, 0.250, 0.105), Na at (0.250, 0.250, 0.750), Pm at (0.000, 0.000, 0.500), F at (0.000, 0.250, 0.431), F at (0.000, 0.250, 0.861) and F at (0.218, 0.054, 0.621).

=====

No. 2
FeTeAu3: optimized geometry, PBE.

As for the crystal system: cubic. The uncorrected formation energy is 692 meV/atom. The calculation puts the total DFT energy (no corrections) at -18.0 eV per cell. The energy above the most stable polymorph in this dataset comes out at 0.0000 eV/atom.

It has space group Pm-3m (No. 221), with a = 4.865 Å, b = 4.865 Å, c = 4.865 Å, α = 90.00°, β = 90.00° and γ = 90.00°. The inequivalent atoms are Fe at (0.000, 0.000, 0.000), Te at (0.500, 0.500, 0.500) and Au at (0.000, 0.000, 0.500).

=====

No. 3
La2HgB: optimized geometry, PBE.

As for the crystal system: cubic. The calculation puts the total DFT energy (no corrections) at -65.2 eV per cell. Its formation energy is 0.135 eV/atom. The energy above the most stable polymorph in this dataset comes out at 0.0563 eV/atom.

It has space group Fm-3m (No. 225), with a = 7.408 Å, b = 7.408 Å, c = 7.408 Å, α = 90.00°, β = 90.00° and γ = 90.00°. The inequivalent atoms are La at (0.250, 0.250, 0.250), Hg at (0.000, 0.000, 0.000) and B at (0.000, 0.000, 0.500).

=====

No. 4
ZrCrRu: optimized geometry, PBE.

As for the crystal system: trigonal. The calculation puts the total DFT energy (no corrections) at -27.2 eV per cell. Its formation energy is 0.097 eV/atom. The energy above the most stable polymorph in this dataset comes out at 0.1930 eV/atom.

It has space group P3m1 (No. 156), with a = 4.3072 Å, b = 4.3072 Å, c = 2.9981 Å, α = 90.00°, β = 90.00° and γ = 120.00°. The inequivalent atoms are Zr at (0.0000, 0.0000, 0.0000), Cr at (0.6667, 0.3333, 0.3833) and Ru at (0.3333, 0.6667, 0.6213).

=====

What is the formula in the second record?
FeTeAu3

=====

What did the first record say?
CsNaPmF6: optimized geometry, PBE.

As for the crystal system: orthorhombic. The uncorrected formation energy is -2950 meV/atom. The calculation puts the total DFT energy (no corrections) at -178.8 eV per cell.

It has space group Imma (No. 74), with a = 7.515 Å, b = 8.523 Å, c = 12.101 Å, α = 90.00°, β = 90.00° and γ = 90.00°. The inequivalent atoms are Cs at (0.000, 0.250, 0.105), Na at (0.250, 0.250, 0.750), Pm at (0.000, 0.000, 0.500), F at (0.000, 0.250, 0.431), F at (0.000, 0.250, 0.861) and F at (0.218, 0.054, 0.621).

=====

Which formula does entry 3 have?
La2HgB